{
  "formula": "VInBr",
  "functional": "GGA-PBE",
  "state": "relaxed",
  "lattice_angstrom": [[3.380, 0.000, 0.000], [1.616, 2.970, 0.000], [0.499, 1.051, 13.897]],
  "species": ["V", "V", "In", "In", "Br", "Br"],
  "fractional_positions": [[0.000, 0.000, 0.000], [0.385, 0.577, 0.118], [0.346, 0.374, 0.842], [0.706, 0.870, 0.275], [0.002, 0.173, 0.423], [0.697, 0.720, 0.695]],
  "raw_formation_energy_ev_per_atom": 0.0909
}

---

{
  "formula": "SmInAu",
  "functional": "GGA-PBE",
  "state": "relaxed",
  "lattice_angstrom": [[7.807, 0.000, 0.000], [-3.903, 6.761, 0.000], [0.000, 0.000, 4.124]],
  "species": ["Sm", "Sm", "Sm", "In", "In", "In", "Au", "Au", "Au"],
  "fractional_positions": [[0.000, 0.592, 0.000], [0.408, 0.408, 0.000], [0.592, 0.000, 0.000], [0.000, 0.256, 0.500], [0.256, 0.000, 0.500], [0.744, 0.744, 0.500], [0.000, 0.000, 0.000], [0.333, 0.667, 0.500], [0.667, 0.333, 0.500]],
  "e_form_ev_per_atom": -0.741
}